[1]
Below is Pm2PrSc4 after structural relaxation, with properties calculated at the PBE level.

Unit cell a=8.8666 b=9.2488 c=8.1866 alpha=136.97 beta=114.24 gamma=81.73
With the nearest neighbours (Å) after each atom.
Fractional positions:
Pr1 0.0780 0.5394 0.4318  8 Sc 3.29-3.55, 3 Pm 3.45-3.50, 1 Pr 3.52
Pr2 0.3860 0.2770 0.2100  4 Pm 3.37-3.56, 7 Sc 3.39-3.55, 1 Pr 3.52
Sc1 0.5157 0.8101 0.8381  6 Sc 3.24-3.60, 3 Pm 3.37-3.49, 3 Pr 3.39-3.52
Sc2 0.9495 0.9913 0.7858  3 Pr 3.29-3.54, 6 Sc 3.33-3.49, 3 Pm 3.38-3.56
Sc3 0.9327 0.0874 0.2562  7 Sc 3.19-3.55, 4 Pm 3.40-3.56, 1 Pr 3.53
Sc4 0.2362 0.8692 0.0931  6 Sc 3.25-3.60, 2 Pr 3.38-3.47, 4 Pm 3.39-3.51
Sc5 0.2152 0.9497 0.5422  6 Sc 3.26-3.59, 4 Pm 3.36-3.59, 2 Pr 3.42-3.48
Sc6 0.8176 0.5909 0.6738  7 Sc 3.19-3.55, 2 Pr 3.40-3.55, 3 Pm 3.45-3.53
Sc7 0.5343 0.7301 0.3851  6 Sc 3.28-3.56, 5 Pm 3.36-3.59, 1 Pr 3.55
Sc8 0.7982 0.6867 0.1400  5 Pm 3.28-3.55, 6 Sc 3.31-3.47, 1 Pr 3.55
Pm1 0.6718 0.1381 0.4969  8 Sc 3.28-3.53, 3 Pm 3.45-3.51, 1 Pr 3.49
Pm2 0.6550 0.2508 0.9982  8 Sc 3.36-3.59, 2 Pr 3.37-3.45, 2 Pm 3.49-3.54
Pm3 0.3649 0.4014 0.7196  3 Pm 3.37-3.54, 7 Sc 3.39-3.56, 2 Pr 3.49-3.51
Pm4 0.0948 0.4278 0.9290  8 Sc 3.36-3.59, 2 Pm 3.37-3.45, 2 Pr 3.50-3.56

Its density of states at the Fermi level is 22.2 states/eV per cell. Its volume is 28.88 Å³ per atom. As for the space-group type: P1. The value obtained for the energy relative to the elements is 0.048 eV per atom. Its total energy is -5.6097 eV/atom.


[2]
Below is Pm2Pr3Sc after structural relaxation, with properties calculated at the PBE level.

Unit cell a=3.7218 b=8.4845 c=12.9016 alpha=90.08 beta=90.00 gamma=90.00
With the nearest neighbours (Å) after each atom.
Fractional positions:
Pr1 0.2500 0.3985 0.7491  1 Sc 3.50, 6 Pr 3.72-3.78, 4 Pm 3.75-3.77
Pr2 0.2500 0.3433 0.0607  2 Sc 3.35, 4 Pr 3.61-3.72, 3 Pm 3.65
Pr3 0.7500 0.0808 0.6112  2 Sc 3.45, 4 Pm 3.59-3.69, 6 Pr 3.68-3.73
Pr4 0.2500 0.9192 0.3888  2 Sc 3.45, 4 Pm 3.59-3.69, 6 Pr 3.68-3.73
Pr5 0.7500 0.6567 0.9393  2 Sc 3.35, 4 Pr 3.61-3.72, 3 Pm 3.65
Pr6 0.7500 0.6015 0.2509  1 Sc 3.50, 6 Pr 3.72-3.78, 4 Pm 3.75-3.77
Sc1 0.2500 0.8108 0.7488  5 Pr 3.35-3.50, 4 Pm 3.36-3.46, 2 Sc 3.72
Sc2 0.7500 0.1892 0.2512  5 Pr 3.35-3.50, 4 Pm 3.36-3.46, 2 Sc 3.72
Pm1 0.7500 0.6535 0.5581  2 Sc 3.36, 4 Pm 3.53-3.72, 3 Pr 3.65-3.69
Pm2 0.2500 0.3465 0.4419  2 Sc 3.36, 4 Pm 3.53-3.72, 3 Pr 3.65-3.69
Pm3 0.2500 0.9205 0.1104  2 Sc 3.46, 6 Pr 3.59-3.75, 4 Pm 3.66-3.72
Pm4 0.7500 0.0795 0.8896  2 Sc 3.46, 6 Pr 3.59-3.75, 4 Pm 3.66-3.72

Its density of states at the Fermi level is 18.2 states/eV per cell. Its volume is 33.95 Å³ per atom. As for the space-group type: P2_1/m. The value obtained for the energy relative to the elements is 0.049 eV per atom. Its total energy is -4.9792 eV/atom.


[3]
Below is Pm4Pr6Sc after structural relaxation, with properties calculated at the PBE level.

Unit cell a=8.8249 b=8.8249 c=9.6946 alpha=90.00 beta=90.00 gamma=90.00
With the nearest neighbours (Å) after each atom.
Fractional positions:
Pr1 0.3422 0.8529 0.5000  1 Sc 3.29, 6 Pm 3.48-3.63
Pr2 0.6471 0.1578 0.0000  1 Sc 3.29, 6 Pm 3.48-3.63
Pr3 0.6578 0.1471 0.5000  1 Sc 3.29, 6 Pm 3.48-3.63
Pr4 0.8529 0.6578 0.5000  1 Sc 3.29, 6 Pm 3.48-3.63
Pr5 0.3529 0.8422 0.0000  1 Sc 3.29, 6 Pm 3.48-3.63
Pr6 0.0000 0.0000 0.8299  1 Sc 3.20, 1 Pr 3.30, 4 Pm 3.46
Pr7 0.0000 0.0000 0.1701  1 Sc 3.20, 1 Pr 3.30, 4 Pm 3.46
Pr8 0.5000 0.5000 0.3299  1 Sc 3.20, 1 Pr 3.30, 4 Pm 3.46
Pr9 0.1471 0.3422 0.5000  1 Sc 3.29, 6 Pm 3.48-3.63
Pr10 0.1578 0.3529 0.0000  1 Sc 3.29, 6 Pm 3.48-3.63
Pr11 0.8422 0.6471 0.0000  1 Sc 3.29, 6 Pm 3.48-3.63
Pr12 0.5000 0.5000 0.6701  1 Sc 3.20, 1 Pr 3.30, 4 Pm 3.46
Pm1 0.8522 0.3522 0.7500  8 Pr 3.46-3.63, 1 Pm 3.69
Pm2 0.3522 0.1478 0.2500  8 Pr 3.46-3.63, 1 Pm 3.69
Pm3 0.1478 0.6478 0.7500  8 Pr 3.46-3.63, 1 Pm 3.69
Pm4 0.6478 0.8522 0.2500  8 Pr 3.46-3.63, 1 Pm 3.69
Pm5 0.8522 0.3522 0.2500  8 Pr 3.46-3.63, 1 Pm 3.69
Pm6 0.1478 0.6478 0.2500  8 Pr 3.46-3.63, 1 Pm 3.69
Pm7 0.6478 0.8522 0.7500  8 Pr 3.46-3.63, 1 Pm 3.69
Pm8 0.3522 0.1478 0.7500  8 Pr 3.46-3.63, 1 Pm 3.69
Sc1 0.5000 0.5000 0.0000  6 Pr 3.20-3.29
Sc2 0.0000 0.0000 0.5000  6 Pr 3.20-3.29

Its density of states at the Fermi level is 33.2 states/eV per cell. Its volume is 34.32 Å³ per atom. As for the space-group type: P4/mnc. The value obtained for the energy relative to the elements is 0.103 eV per atom. Its total energy is -4.8075 eV/atom.


[4]
Below is Pm6PrSc2 after structural relaxation, with properties calculated at the PBE level.

Unit cell a=12.1509 b=7.3531 c=7.3531 alpha=87.64 beta=70.83 gamma=70.83
With the nearest neighbours (Å) after each atom.
Fractional positions:
Pm1 0.3958 0.2281 0.5028  4 Pm 3.26-3.54, 3 Sc 3.31-3.52, 1 Pr 3.64
Pm2 0.6510 0.2259 0.6357  3 Sc 3.23-3.51, 4 Pm 3.24-3.54
Pm3 0.0671 0.9549 0.7376  2 Sc 3.22-3.55, 3 Pm 3.24-3.49, 1 Pr 3.36
Pm4 0.1042 0.4972 0.7719  4 Pm 3.26-3.54, 3 Sc 3.31-3.52, 1 Pr 3.64
Pm5 0.9329 0.0451 0.2624  2 Sc 3.22-3.55, 3 Pm 3.24-3.49, 1 Pr 3.36
Pm6 0.8490 0.3643 0.7741  3 Sc 3.23-3.51, 4 Pm 3.24-3.54
Pm7 0.3490 0.7741 0.3643  3 Sc 3.23-3.51, 4 Pm 3.24-3.54
Pm8 0.8958 0.5028 0.2281  4 Pm 3.26-3.54, 3 Sc 3.31-3.52, 1 Pr 3.64
Pm9 0.1510 0.6357 0.2259  3 Sc 3.23-3.51, 4 Pm 3.24-3.54
Pm10 0.6042 0.7719 0.4972  4 Pm 3.26-3.54, 3 Sc 3.31-3.52, 1 Pr 3.64
Pm11 0.5671 0.7376 0.9549  2 Sc 3.22-3.55, 3 Pm 3.24-3.49, 1 Pr 3.36
Pm12 0.4329 0.2624 0.0451  2 Sc 3.22-3.55, 3 Pm 3.24-3.49, 1 Pr 3.36
Pr1 0.2500 0.0464 0.9536  2 Sc 3.24, 2 Pm 3.36
Pr2 0.7500 0.9536 0.0464  2 Sc 3.24, 2 Pm 3.36
Sc1 0.1334 0.2305 0.3964  8 Pm 3.22-3.55, 1 Pr 3.24
Sc2 0.6334 0.3964 0.2305  8 Pm 3.22-3.55, 1 Pr 3.24
Sc3 0.3666 0.6036 0.7695  8 Pm 3.22-3.55, 1 Pr 3.24
Sc4 0.8666 0.7695 0.6036  8 Pm 3.22-3.55, 1 Pr 3.24

Its density of states at the Fermi level is 27.6 states/eV per cell. Its volume is 32.47 Å³ per atom. As for the space-group type: C2/c. The value obtained for the energy relative to the elements is 0.181 eV per atom. Its total energy is -4.9244 eV/atom.


[5]
Below is PmPrSc after structural relaxation, with properties calculated at the PBE level.

Unit cell a=5.0229 b=3.5375 c=10.5906 alpha=89.98 beta=90.00 gamma=90.00
With the nearest neighbours (Å) after each atom.
Fractional positions:
Pm1 0.8468 0.7449 0.6792  5 Sc 3.27-3.49, 2 Pm 3.54, 4 Pr 3.58-3.59
Pm2 0.3469 0.2451 0.1444  5 Sc 3.27-3.49, 2 Pm 3.54, 4 Pr 3.58
Sc1 0.8470 0.7445 0.9877  5 Pm 3.27-3.49, 6 Sc 3.47-3.54, 1 Pr 3.51
Sc2 0.3469 0.2444 0.8358  5 Pm 3.27-3.49, 6 Sc 3.47-3.54, 1 Pr 3.51
Pr1 0.3468 0.2454 0.5047  1 Sc 3.51, 6 Pr 3.54-3.65, 5 Pm 3.58-3.82
Pr2 0.8468 0.7453 0.3188  1 Sc 3.51, 6 Pr 3.54-3.65, 5 Pm 3.58-3.82

Its density of states at the Fermi level is 9.1 states/eV per cell. Its volume is 31.36 Å³ per atom. As for the space-group type: Pmmn. The value obtained for the energy relative to the elements is 0.066 eV per atom. Its total energy is -5.2210 eV/atom.


[6]
Below is Pm3Pr3Sc after structural relaxation, with properties calculated at the PBE level.

Unit cell a=5.8322 b=9.7007 c=9.7007 alpha=120.00 beta=90.00 gamma=90.00
With the nearest neighbours (Å) after each atom.
Fractional positions:
Pm1 0.7500 0.4823 0.0975  3 Sc 3.58-3.68, 4 Pm 3.58-3.61, 5 Pr 3.60-3.74
Pm2 0.2500 0.0975 0.6151  3 Sc 3.58-3.68, 4 Pm 3.58-3.61, 5 Pr 3.60-3.74
Pm3 0.7500 0.6151 0.5177  3 Sc 3.58-3.68, 4 Pm 3.58-3.61, 5 Pr 3.60-3.74
Pm4 0.2500 0.3849 0.4823  3 Sc 3.58-3.68, 4 Pm 3.58-3.61, 5 Pr 3.60-3.74
Pm5 0.7500 0.9025 0.3849  3 Sc 3.58-3.68, 4 Pm 3.58-3.61, 5 Pr 3.60-3.74
Pm6 0.2500 0.5177 0.9025  3 Sc 3.58-3.68, 4 Pm 3.58-3.61, 5 Pr 3.60-3.74
Pr1 0.2500 0.9468 0.1926  5 Pm 3.60-3.74, 1 Sc 3.60, 6 Pr 3.64-3.76
Pr2 0.2500 0.8074 0.7543  5 Pm 3.60-3.74, 1 Sc 3.60, 6 Pr 3.64-3.76
Pr3 0.2500 0.2457 0.0532  5 Pm 3.60-3.74, 1 Sc 3.60, 6 Pr 3.64-3.76
Pr4 0.7500 0.0532 0.8074  5 Pm 3.60-3.74, 1 Sc 3.60, 6 Pr 3.64-3.76
Pr5 0.7500 0.1926 0.2457  5 Pm 3.60-3.74, 1 Sc 3.60, 6 Pr 3.64-3.76
Pr6 0.7500 0.7543 0.9468  5 Pm 3.60-3.74, 1 Sc 3.60, 6 Pr 3.64-3.76
Sc1 0.7500 0.3333 0.6667  9 Pm 3.58-3.68, 3 Pr 3.60
Sc2 0.2500 0.6667 0.3333  9 Pm 3.58-3.68, 3 Pr 3.60

Its density of states at the Fermi level is 22.8 states/eV per cell. Its volume is 33.95 Å³ per atom. As for the space-group type: P6_3/m. The value obtained for the energy relative to the elements is 0.047 eV per atom. Its total energy is -4.9419 eV/atom.